Version A
DyZn10Ni2 | PBE | relaxed

Computed properties:
Size of the total moment (Bohr magnetons per cell): 0.00
Calculated density (g/cm3): 7.9
N(E_F) (states/eV per cell): 5.39

abc: 8.856 6.776 6.711
angles: 82.09 49.27 48.64
Element x y z (fractional)
Dy 0.000 0.000 0.000
Zn 0.000 0.500 0.000
Zn 0.015 0.653 0.347
Zn 0.283 0.508 0.492
Zn 0.347 0.985 0.015
Zn 0.492 0.717 0.283
Zn 0.500 0.000 0.500
Zn 0.508 0.283 0.717
Zn 0.653 0.015 0.985
Zn 0.717 0.492 0.508
Zn 0.985 0.347 0.653
Ni 0.000 0.000 0.500
Ni 0.500 0.500 0.000

***

Version B
DyZn10Ni2 | PBE | relaxed

Computed properties:
Size of the total moment (Bohr magnetons per cell): 0.00
Calculated density (g/cm3): 8.0
N(E_F) (states/eV per cell): 10.47

abc: 6.750 6.750 8.659
angles: 90.00 90.00 98.73
Element x y z (fractional)
Dy 0.127 0.873 0.750
Dy 0.873 0.127 0.250
Zn 0.140 0.401 0.750
Zn 0.152 0.848 0.099
Zn 0.152 0.848 0.401
Zn 0.220 0.475 0.250
Zn 0.227 0.227 0.000
Zn 0.227 0.227 0.500
Zn 0.375 0.625 0.543
Zn 0.375 0.625 0.957
Zn 0.401 0.140 0.250
Zn 0.475 0.220 0.750
Zn 0.525 0.780 0.250
Zn 0.599 0.860 0.750
Zn 0.625 0.375 0.043
Zn 0.625 0.375 0.457
Zn 0.773 0.773 0.000
Zn 0.773 0.773 0.500
Zn 0.780 0.525 0.750
Zn 0.848 0.152 0.599
Zn 0.848 0.152 0.901
Zn 0.860 0.599 0.250
Ni 0.000 0.500 0.000
Ni 0.000 0.500 0.500
Ni 0.500 0.000 0.000
Ni 0.500 0.000 0.500

***

Here are the energies relative to the best structure, in meV per atom: version A 22; version B 0.

***

Version A
DyZn9Ni2 | PBE | relaxed

Computed properties:
Size of the total moment (Bohr magnetons per cell): 0.00
Calculated density (g/cm3): 8.0
N(E_F) (states/eV per cell): 15.92

abc: 8.067 8.067 8.067
angles: 100.00 100.00 130.74
Element x y z (fractional)
Dy 0.375 0.625 0.750
Dy 0.625 0.375 0.250
Zn 0.125 0.875 0.250
Zn 0.137 0.563 0.331
Zn 0.137 0.805 0.574
Zn 0.195 0.269 0.331
Zn 0.195 0.863 0.926
Zn 0.269 0.195 0.831
Zn 0.269 0.437 0.074
Zn 0.437 0.269 0.574
Zn 0.437 0.863 0.169
Zn 0.563 0.137 0.831
Zn 0.563 0.731 0.426
Zn 0.731 0.563 0.926
Zn 0.731 0.805 0.169
Zn 0.805 0.137 0.074
Zn 0.805 0.731 0.669
Zn 0.863 0.195 0.426
Zn 0.863 0.437 0.669
Zn 0.875 0.125 0.750
Ni 0.000 0.000 0.000
Ni 0.000 0.000 0.500
Ni 0.000 0.500 0.000
Ni 0.500 0.000 0.500

***

Version B
DyZn9Ni2 | PBE | relaxed

Computed properties:
Size of the total moment (Bohr magnetons per cell): 0.00
Calculated density (g/cm3): 7.8
N(E_F) (states/eV per cell): 4.76

abc: 8.461 8.461 2.975
angles: 90.00 90.00 120.00
Element x y z (fractional)
Dy 0.000 0.000 0.000
Zn 0.000 0.500 0.000
Zn 0.189 0.378 0.500
Zn 0.189 0.811 0.500
Zn 0.378 0.189 0.500
Zn 0.500 0.000 0.000
Zn 0.500 0.500 0.000
Zn 0.622 0.811 0.500
Zn 0.811 0.189 0.500
Zn 0.811 0.622 0.500
Ni 0.333 0.667 0.000
Ni 0.667 0.333 0.000

***

Here are the energies relative to the best structure, in meV per atom: version A 0; version B 83.

***

Version A
Dy3ZnNi3 | PBE | relaxed

Computed properties:
Size of the total moment (Bohr magnetons per cell): 0.00
Calculated density (g/cm3): 9.1
N(E_F) (states/eV per cell): 8.76

abc: 5.324 5.324 13.015
angles: 90.00 90.00 134.03
Element x y z (fractional)
Dy 0.013 0.987 0.750
Dy 0.294 0.706 0.604
Dy 0.294 0.706 0.896
Dy 0.706 0.294 0.104
Dy 0.706 0.294 0.396
Dy 0.987 0.013 0.250
Zn 0.000 0.000 0.000
Zn 0.000 0.000 0.500
Ni 0.280 0.720 0.250
Ni 0.417 0.583 0.090
Ni 0.417 0.583 0.410
Ni 0.583 0.417 0.590
Ni 0.583 0.417 0.910
Ni 0.720 0.280 0.750

***

Version B
Dy3ZnNi3 | PBE | relaxed

Computed properties:
Size of the total moment (Bohr magnetons per cell): 0.00
Calculated density (g/cm3): 7.7
N(E_F) (states/eV per cell): 6.66

abc: 8.201 8.201 5.380
angles: 90.00 90.00 120.00
Element x y z (fractional)
Dy 0.050 0.697 0.250
Dy 0.303 0.353 0.250
Dy 0.353 0.050 0.750
Dy 0.647 0.950 0.250
Dy 0.697 0.647 0.750
Dy 0.950 0.303 0.750
Zn 0.333 0.667 0.750
Zn 0.667 0.333 0.250
Ni 0.048 0.680 0.750
Ni 0.320 0.368 0.750
Ni 0.368 0.048 0.250
Ni 0.632 0.952 0.750
Ni 0.680 0.632 0.250
Ni 0.952 0.320 0.250

***

Here are the energies relative to the best structure, in meV per atom: version A 0; version B 309.

***

Version A
DyZn2Ni4 | PBE | relaxed

Computed properties:
Size of the total moment (Bohr magnetons per cell): 0.00
Calculated density (g/cm3): 9.0
N(E_F) (states/eV per cell): 5.31

abc: 5.069 5.069 4.968
angles: 119.23 119.23 76.05
Element x y z (fractional)
Dy 0.000 0.000 0.000
Zn 0.499 0.499 0.249
Zn 0.501 0.501 0.751
Ni 0.000 0.385 0.692
Ni 0.000 0.615 0.308
Ni 0.385 0.000 0.692
Ni 0.615 0.000 0.308

***

Version B
DyZn2Ni4 | PBE | relaxed

Computed properties:
Size of the total moment (Bohr magnetons per cell): 0.00
Calculated density (g/cm3): 6.9
N(E_F) (states/eV per cell): 8.64

abc: 5.613 5.613 5.613
angles: 101.72 101.72 126.43
Element x y z (fractional)
Dy 0.000 0.000 0.000
Zn 0.250 0.750 0.500
Zn 0.750 0.250 0.500
Ni 0.278 0.500 0.778
Ni 0.500 0.278 0.778
Ni 0.500 0.722 0.222
Ni 0.722 0.500 0.222

***

Here are the energies relative to the best structure, in meV per atom: version A 0; version B 574.